A geometry-optimized K3SrCd8 structure. Source: Alexandria, functional PBE.

- energy (eV for the cell shown) = -13.98
- formation enthalpy at 0 K (meV per atom) = -141
- SG = P3m1, No. 156
- crystal system = trigonal
- volume (Å³ per atom) = 29.7

a b c (Å): 6.336 6.336 10.237
angles (deg): 90.00 90.00 120.00
Fractional positions:
1 K 0.667 0.333 0.058
2 K 0.000 0.000 0.944
3 Cd 0.165 0.330 0.255
4 Cd 0.165 0.835 0.255
5 Cd 0.503 0.497 0.745
6 Cd 0.333 0.667 0.501
7 Sr 0.000 0.000 0.562
8 Cd 0.333 0.667 0.000
9 Cd 0.995 0.497 0.745
10 Cd 0.503 0.005 0.745
11 K 0.667 0.333 0.435
12 Cd 0.670 0.835 0.255